Run a
Computed, not measured: a geometry-optimized PrMoO5 structure at the PBE+U level of DFT.

Magnetic moment: 2.00 μB/cell
Crystal system: tetragonal
V: 20.064 A^3/atom
Space-group type: P4/nmm (129)

Structure (POSCAR):
```
PrMoO5
1.0
7.7027 0.0000 0.0000
0.0000 7.7027 0.0000
0.0000 0.0000 4.7344
Pr Mo O
2 2 10
Direct
0.2500 0.2500 0.2238
0.7500 0.7500 0.7762
0.2500 0.7500 0.5000
0.7500 0.2500 0.5000
0.0591 0.7500 0.7173
0.2500 0.2500 0.7272
0.2500 0.5591 0.2827
0.2500 0.9409 0.2827
0.4409 0.7500 0.7173
0.5591 0.2500 0.2827
0.7500 0.0591 0.7173
0.7500 0.4409 0.7173
0.7500 0.7500 0.2728
0.9409 0.2500 0.2827
```

---

Run b
Computed, not measured: a geometry-optimized PrMoO5 structure at the PBE+U level of DFT.

Magnetic moment: 0.11 μB/cell
Crystal system: monoclinic
V: 16.488 A^3/atom
Space-group type: P2_1/c (14)

Structure (POSCAR):
```
PrMoO5
1.0
5.4792 0.0000 0.0000
0.0000 13.0745 0.0000
-3.2008 0.0000 6.4445
Pr Mo O
4 4 20
Direct
0.1586 0.0639 0.2832
0.1586 0.4361 0.7832
0.8414 0.5639 0.2168
0.8414 0.9361 0.7168
0.4107 0.1338 0.8513
0.4107 0.3662 0.3513
0.5893 0.6338 0.6487
0.5893 0.8662 0.1487
0.0440 0.5532 0.9859
0.0440 0.9468 0.4859
0.2070 0.0585 0.9509
0.2070 0.4415 0.4509
0.2669 0.2435 0.2634
0.2669 0.2565 0.7634
0.2794 0.6569 0.4268
0.2794 0.8431 0.9268
0.4877 0.5753 0.8364
0.4877 0.9247 0.3364
0.5123 0.0753 0.6636
0.5123 0.4247 0.1636
0.7206 0.1569 0.0732
0.7206 0.3431 0.5732
0.7331 0.7435 0.2366
0.7331 0.7565 0.7366
0.7930 0.5585 0.5491
0.7930 0.9415 0.0491
0.9560 0.0532 0.5141
0.9560 0.4468 0.0141
```

---

Energies relative to the most stable structure, in eV/atom: run a 0.209; run b 0.000.